Crystalline Pr8SmDy3 at its relaxed geometry, computed with PBE.

The structure in POSCAR format:
```
Pr8SmDy3
1.0
7.139 0.285 -5.020
-3.127 8.083 -1.081
-1.779 -0.279 8.525
Pr Sm Dy
8 1 3
Direct
0.500 0.166 0.333
0.501 0.665 0.835
0.171 0.836 0.335
0.173 0.337 0.836
0.163 0.415 0.250
0.833 0.085 0.251
0.833 0.583 0.749
0.162 0.913 0.748
0.829 0.001 0.827
0.503 0.748 0.254
0.503 0.250 0.755
0.830 0.501 0.328
```

Computed properties:
The calculation puts the energy at -4.6996 eV per atom. The crystal system is triclinic. As for the space group: P1, No. 1. Its calculated formation energy is 0.7 kcal/mol of atoms.


Crystalline Pr7Sm4Dy at its relaxed geometry, computed with PBE.

The structure in POSCAR format:
```
Pr7Sm4Dy
1.0
-1.887 2.999 -6.492
-6.155 -0.033 1.773
-2.980 11.118 -2.424
Pr Sm Dy
7 4 1
Direct
0.749 0.500 0.001
0.251 0.500 0.999
0.081 0.278 0.668
0.919 0.722 0.332
0.333 0.778 0.667
0.500 0.000 0.000
0.667 0.222 0.333
0.419 0.723 0.331
0.581 0.277 0.669
0.834 0.777 0.666
0.166 0.223 0.334
0.000 0.000 0.000
```

Computed properties:
The calculation puts the energy at -4.7337 eV per atom. As for the energy above the lowest structure with this stoichiometry: 0.0000 eV per atom. The crystal system is triclinic. As for the space group: P-1, No. 2. Its calculated formation energy is 0.3 kcal/mol of atoms.